Entry 1
A relaxed structure of Sr3MgIn. Source: Alexandria via LeMat-Bulk, functional GGA-PBE.

The space group is No. 63. The value obtained for the density of states at the Fermi level is 3.9 states/eV/f.u.

abc: 11.6166 11.6166 5.8590
angles: 90.00 90.00 150.78
Positions (direct):
Sr: 0.0713 0.9287 0.7500
Sr: 0.2496 0.7504 0.7500
Sr: 0.4284 0.5716 0.7500
Sr: 0.5716 0.4284 0.2500
Sr: 0.7504 0.2496 0.2500
Sr: 0.9287 0.0713 0.2500
Mg: 0.3399 0.6601 0.2500
Mg: 0.6601 0.3399 0.7500
In: 0.1588 0.8412 0.2500
In: 0.8412 0.1588 0.7500

---

Entry 2
A relaxed structure of Sr3MgIn. Source: Alexandria via LeMat-Bulk, functional GGA-PBE.

The space group is No. 221. The value obtained for the density of states at the Fermi level is 9.2 states/eV/f.u.

abc: 6.3952 6.3952 6.3952
angles: 90.00 90.00 90.00
Positions (direct):
Sr: 0.0000 0.0000 0.5000
Sr: 0.0000 0.5000 0.0000
Sr: 0.5000 0.0000 0.0000
Mg: 0.5000 0.5000 0.5000
In: 0.0000 0.0000 0.0000

---

In meV/atom, relative to the most stable structure: entry 1 0; entry 2 322.

---

Entry 1
A relaxed structure of Sr2Mg5In3. Source: Alexandria via LeMat-Bulk, functional GGA-PBE.

The space group is No. 72. The value obtained for the density of states at the Fermi level is 5.7 states/eV/f.u.

abc: 9.8536 9.8536 9.8536
angles: 97.70 95.43 140.47
Positions (direct):
Sr: 0.1247 0.2470 0.3718
Sr: 0.3753 0.7470 0.1223
Sr: 0.6247 0.2530 0.8777
Sr: 0.8753 0.7530 0.6282
Mg: 0.0000 0.2500 0.7500
Mg: 0.0000 0.7500 0.2500
Mg: 0.1206 0.6420 0.7626
Mg: 0.2500 0.2500 0.0000
Mg: 0.3794 0.1420 0.5213
Mg: 0.5000 0.2500 0.2500
Mg: 0.5000 0.7500 0.7500
Mg: 0.6206 0.8580 0.4787
Mg: 0.7500 0.7500 0.0000
Mg: 0.8794 0.3580 0.2374
In: 0.1286 0.8608 0.9894
In: 0.2500 0.7500 0.5000
In: 0.3714 0.3608 0.7323
In: 0.6286 0.6392 0.2677
In: 0.7500 0.2500 0.5000
In: 0.8714 0.1392 0.0106

---

Entry 2
A relaxed structure of Sr2Mg5In3. Source: Alexandria via LeMat-Bulk, functional GGA-PBE.

The space group is No. 115. The value obtained for the density of states at the Fermi level is 5.1 states/eV/f.u.

abc: 4.7211 4.7211 13.0562
angles: 90.00 90.00 90.00
Positions (direct):
Sr: 0.0000 0.5000 0.2345
Sr: 0.5000 0.0000 0.7655
Mg: 0.0000 0.0000 0.5000
Mg: 0.0000 0.5000 0.6446
Mg: 0.5000 0.0000 0.3554
Mg: 0.5000 0.5000 0.0000
Mg: 0.5000 0.5000 0.5000
In: 0.0000 0.0000 0.0000
In: 0.0000 0.5000 0.8613
In: 0.5000 0.0000 0.1387

---

In meV/atom, relative to the most stable structure: entry 1 0; entry 2 42.

---

Entry 1
A relaxed structure of SrMg2TaIn. Source: Alexandria via LeMat-Bulk, functional GGA-PBE.

The space group is No. 123. The value obtained for the density of states at the Fermi level is 4.1 states/eV/f.u.

abc: 5.4992 5.4992 5.8921
angles: 90.00 90.00 90.00
Positions (direct):
Sr: 0.0000 0.0000 0.0000
Mg: 0.0000 0.5000 0.5000
Mg: 0.5000 0.0000 0.5000
Ta: 0.0000 0.0000 0.5000
In: 0.5000 0.5000 0.0000

---

Entry 2
A relaxed structure of SrMg2TaIn. Source: Alexandria via LeMat-Bulk, functional GGA-PBE.

The space group is No. 123. The value obtained for the density of states at the Fermi level is 6.1 states/eV/f.u.

abc: 5.6938 5.6938 5.3049
angles: 90.00 90.00 90.00
Positions (direct):
Sr: 0.0000 0.0000 0.0000
Mg: 0.0000 0.5000 0.0000
Mg: 0.5000 0.0000 0.0000
Ta: 0.0000 0.0000 0.5000
In: 0.5000 0.5000 0.5000

---

In meV/atom, relative to the most stable structure: entry 1 0; entry 2 720.

---

Entry 1
A relaxed structure of SrTbMgIn. Source: Alexandria via LeMat-Bulk, functional GGA-PBE.

The space group is No. 216. The value obtained for the density of states at the Fermi level is 2.4 states/eV/f.u.

abc: 5.5520 5.5520 5.5520
angles: 60.00 60.00 60.00
Positions (direct):
Sr: 0.0000 0.0000 0.0000
Tb: 0.5000 0.5000 0.5000
Mg: 0.7500 0.7500 0.7500
In: 0.2500 0.2500 0.2500

---

Entry 2
A relaxed structure of SrTbMgIn. Source: Alexandria via LeMat-Bulk, functional GGA-PBE.

The space group is No. 99. The value obtained for the density of states at the Fermi level is 3.1 states/eV/f.u.

abc: 3.9211 3.9211 8.0166
angles: 90.00 90.00 90.00
Positions (direct):
Sr: 0.0000 0.0000 0.0000
Tb: 0.0000 0.0000 0.4910
Mg: 0.5000 0.5000 0.7134
In: 0.5000 0.5000 0.2746

---

In meV/atom, relative to the most stable structure: entry 1 22; entry 2 0.

---

Entry 1
A relaxed structure of MgTaIn3. Source: Alexandria via LeMat-Bulk, functional GGA-PBE.

The space group is No. 221. The value obtained for the density of states at the Fermi level is 4.5 states/eV/f.u.

abc: 5.4219 5.4219 5.4219
angles: 90.00 90.00 90.00
Positions (direct):
Mg: 0.0000 0.0000 0.0000
Ta: 0.5000 0.5000 0.5000
In: 0.0000 0.5000 0.5000
In: 0.5000 0.0000 0.5000
In: 0.5000 0.5000 0.0000

---

Entry 2
A relaxed structure of MgTaIn3. Source: Alexandria via LeMat-Bulk, functional GGA-PBE.

The space group is No. 221. The value obtained for the density of states at the Fermi level is 3.1 states/eV/f.u.

abc: 5.1447 5.1447 5.1447
angles: 90.00 90.00 90.00
Positions (direct):
Mg: 0.0000 0.0000 0.0000
Ta: 0.5000 0.5000 0.5000
In: 0.0000 0.0000 0.5000
In: 0.0000 0.5000 0.0000
In: 0.5000 0.0000 0.0000

---

In meV/atom, relative to the most stable structure: entry 1 0; entry 2 611.

---

Entry 1
A relaxed structure of Tb6MgIn. Source: Alexandria via LeMat-Bulk, functional GGA-PBE.

The space group is No. 123. The value obtained for the density of states at the Fermi level is 14.3 states/eV/f.u.

abc: 4.8970 4.8970 9.7817
angles: 90.00 90.00 90.00
Positions (direct):
Tb: 0.0000 0.0000 0.0000
Tb: 0.0000 0.0000 0.5000
Tb: 0.0000 0.5000 0.2475
Tb: 0.0000 0.5000 0.7525
Tb: 0.5000 0.0000 0.2475
Tb: 0.5000 0.0000 0.7525
Mg: 0.5000 0.5000 0.5000
In: 0.5000 0.5000 0.0000

---

Entry 2
A relaxed structure of Tb6MgIn. Source: Alexandria via LeMat-Bulk, functional GGA-PBE.

The space group is No. 148. The value obtained for the density of states at the Fermi level is 7.6 states/eV/f.u.

abc: 6.2040 6.2040 6.2040
angles: 90.86 90.86 90.86
Positions (direct):
Tb: 0.0177 0.7539 0.5284
Tb: 0.2461 0.4716 0.9823
Tb: 0.4716 0.9823 0.2461
Tb: 0.5284 0.0177 0.7539
Tb: 0.7539 0.5284 0.0177
Tb: 0.9823 0.2461 0.4716
Mg: 0.5000 0.5000 0.5000
In: 0.0000 0.0000 0.0000

---

In meV/atom, relative to the most stable structure: entry 1 0; entry 2 52.

---

Entry 1
A relaxed structure of Tb4Mg2In. Source: Alexandria via LeMat-Bulk, functional GGA-PBE.

The space group is No. 166. The value obtained for the density of states at the Fermi level is 8.7 states/eV/f.u.

abc: 9.9229 9.9229 9.9229
angles: 30.57 30.57 30.57
Positions (direct):
Tb: 0.1265 0.1265 0.1265
Tb: 0.2917 0.2917 0.2917
Tb: 0.7083 0.7083 0.7083
Tb: 0.8735 0.8735 0.8735
Mg: 0.4039 0.4039 0.4039
Mg: 0.5961 0.5961 0.5961
In: 0.5000 0.5000 0.5000

---

Entry 2
A relaxed structure of Tb4Mg2In. Source: Alexandria via LeMat-Bulk, functional GGA-PBE.

The space group is No. 166. The value obtained for the density of states at the Fermi level is 9.3 states/eV/f.u.

abc: 9.0111 9.0111 9.0111
angles: 34.11 34.11 34.11
Positions (direct):
Tb: 0.1165 0.1165 0.1165
Tb: 0.3704 0.3704 0.3704
Tb: 0.6296 0.6296 0.6296
Tb: 0.8835 0.8835 0.8835
Mg: 0.2446 0.2446 0.2446
Mg: 0.7554 0.7554 0.7554
In: 0.5000 0.5000 0.5000

---

In meV/atom, relative to the most stable structure: entry 1 204; entry 2 0.

---

Entry 1
A relaxed structure of Tb3MgIn2. Source: Alexandria via LeMat-Bulk, functional GGA-PBE.

The space group is No. 164. The value obtained for the density of states at the Fermi level is 3.8 states/eV/f.u.

abc: 5.3345 5.3345 13.0504
angles: 90.00 90.00 120.00
Positions (direct):
Tb: 0.0000 0.0000 0.2483
Tb: 0.0000 0.0000 0.7517
Tb: 0.3333 0.6667 0.4188
Tb: 0.3333 0.6667 0.9193
Tb: 0.6667 0.3333 0.0807
Tb: 0.6667 0.3333 0.5812
Mg: 0.3333 0.6667 0.6683
Mg: 0.6667 0.3333 0.3317
In: 0.0000 0.0000 0.0000
In: 0.0000 0.0000 0.5000
In: 0.3333 0.6667 0.1754
In: 0.6667 0.3333 0.8246

---

Entry 2
A relaxed structure of Tb3MgIn2. Source: Alexandria via LeMat-Bulk, functional GGA-PBE.

The space group is No. 123. The value obtained for the density of states at the Fermi level is 4.8 states/eV/f.u.

abc: 3.7688 3.7688 11.3775
angles: 90.00 90.00 90.00
Positions (direct):
Tb: 0.0000 0.0000 0.0000
Tb: 0.0000 0.0000 0.3363
Tb: 0.0000 0.0000 0.6637
Mg: 0.5000 0.5000 0.5000
In: 0.5000 0.5000 0.1726
In: 0.5000 0.5000 0.8274

---

In meV/atom, relative to the most stable structure: entry 1 0; entry 2 20.